Record 1
CaEr2Ni9 | PBE | relaxed

Space group ... R-3m (166)
Fermi-level density of states ... 12.9 states/eV/f.u.
Calculated formation energy ... -0.338 eV per atom

```
CaEr2Ni9
1.0
-0.7220 0.5521 4.8978
0.2484 -3.9570 3.0159
7.6993 0.1321 3.6533
Ca Er Ni
1 2 9
Cartesian
0.0000 0.0000 0.0000
2.7951 -2.8778 8.3361
4.4306 -0.3950 3.2309
7.3727 -2.1396 8.9277
-0.1470 -1.1332 2.6393
3.6128 -1.6364 5.7835
1.7172 -1.3843 4.2021
1.3542 -1.1067 6.6645
1.8421 -3.3737 5.7183
5.5085 -1.8885 7.3650
5.3836 0.1009 5.8487
5.8715 -2.1661 4.9026
```

Record 2
Pr8P3CS3 | PBE | relaxed

Space group ... R-3m (166)
Fermi-level density of states ... 6.2 states/eV/f.u.
E_form (uncorrected) ... -1.461 eV per atom

```
Pr8P3CS3
1.0
8.2461 -0.0001 0.0000
-4.1231 7.1410 -0.0252
0.0000 -4.7375 6.7788
Pr P C S
8 3 1 3
Cartesian
0.0000 2.3862 1.7341
4.1231 0.0172 5.0194
4.1230 2.5756 1.8437
0.0000 -0.1722 4.9099
6.3483 -1.2784 1.8574
-2.2253 3.6819 4.8962
1.8978 -1.2784 1.8574
2.2252 3.6818 4.8962
4.1231 -2.3688 3.3894
2.0615 1.2017 3.3768
-2.0616 1.2017 3.3768
0.0000 -2.3688 3.3894
0.0000 0.0000 0.0000
-2.0616 3.5705 -0.0126
2.0615 3.5705 -0.0126
```

Record 3
La2Sm6Y3Th | PBE | relaxed

Space group ... C2/m (12)
Fermi-level density of states ... 18.9 states/eV/f.u.
Calculated formation energy ... 0.031 eV per atom

```
La2Sm6Y3Th
1.0
6.2939 0.0003 0.0038
-3.1452 5.4517 0.0038
-1.0561 -1.8287 11.8370
La Sm Y Th
2 6 3 1
Cartesian
0.0017 3.6343 0.0038
3.1471 1.8177 0.0038
3.1246 1.8319 8.8659
2.1156 3.6631 2.9789
-1.0319 1.7914 2.9787
0.0252 3.6219 8.8659
-0.0230 -0.0398 8.8656
2.0674 0.0014 2.9787
-2.1007 3.6291 5.9223
4.1933 -0.0058 5.9223
1.0463 1.8117 5.9223
0.0000 0.0000 0.0000
```

Record 4
Cs5Rb2Cd | PBE | relaxed

Space group ... Cmcm (63)
Fermi-level density of states ... 8.1 states/eV/f.u.
Calculated formation energy ... -0.002 eV per atom

```
Cs5Rb2Cd
1.0
-3.1830 3.8058 -2.1844
-5.4601 -6.2373 3.8155
0.5899 15.8479 26.7513
Cs Rb Cd
10 4 2
Cartesian
-6.8381 12.3472 24.7493
-6.9947 8.1403 17.6479
-4.8704 4.1831 14.3848
-5.1223 -2.5828 2.9639
-1.7274 5.6907 5.7051
-6.3257 7.7257 22.6773
-3.1826 9.2333 13.9976
-2.9308 15.9992 25.4184
-1.2150 1.0692 3.6331
-1.0584 5.2761 10.7344
-5.6434 4.4153 9.1893
-5.7297 2.0988 5.2789
-2.4096 9.0010 19.1931
-2.3234 11.3176 23.1034
-5.4942 11.1180 20.6493
-2.5589 2.2984 7.7330
```

Record 5
BePt2Rh | PBE | relaxed

Space group ... P4/mmm (123)
Fermi-level density of states ... 4.6 states/eV/f.u.
Calculated formation energy ... -0.386 eV per atom

```
BePt2Rh
1.0
2.7621 0.0000 0.0000
0.0000 2.7621 0.0000
0.0000 0.0000 6.9888
Be Rh Pt
1 1 2
Cartesian
1.3810 1.3810 5.2416
1.3810 1.3810 1.7472
0.0000 0.0000 6.6899
0.0000 0.0000 3.7934
```

Record 6
Pm5Zn2Sn2 | PBE | relaxed

Space group ... Cmce (64)
Fermi-level density of states ... 11.3 states/eV/f.u.
Calculated formation energy ... -0.429 eV per atom

```
Pm5Zn2Sn2
1.0
-6.7830 1.6217 3.9677
2.7157 -4.2564 6.3824
1.9924 8.7783 -0.1818
Pm Zn Sn
10 4 4
Cartesian
0.0000 0.0000 0.0000
-2.0337 -1.3173 5.1750
-2.8389 0.2804 8.4326
0.6133 0.7408 3.5719
0.9424 -1.1414 7.3648
-3.1680 2.1626 4.6396
0.7640 5.8633 1.7357
-2.6882 5.4029 6.5964
-3.0173 7.2851 2.8034
1.0931 3.9811 5.5286
-1.7918 -2.7628 8.1002
-2.2755 0.1282 2.2499
0.8680 -2.4269 4.3966
-4.9353 -0.2077 5.9535
1.4026 2.7841 1.2599
-0.6310 1.4668 6.4349
3.3055 1.7379 4.9407
-1.4438 4.6769 3.7333
```

Record 7
LaBeZn2Ir2 | PBE | relaxed

Space group ... P4/mmm (123)
Fermi-level density of states ... 3.7 states/eV/f.u.
Calculated formation energy ... -0.433 eV per atom

```
LaBeZn2Ir2
1.0
4.3057 0.0000 0.0000
0.0000 4.3057 0.0000
0.0000 0.0000 5.6094
La Be Zn Ir
1 1 2 2
Cartesian
0.0000 0.0000 2.8047
0.0000 0.0000 0.0000
2.1528 2.1528 4.1012
2.1528 2.1528 1.5082
2.1528 0.0000 0.0000
0.0000 2.1528 0.0000
```

Record 8
FeTe2SI | PBE | relaxed

Space group ... P4/mmm (123)
Energy relative to the lowest polymorph listed for this composition ... 288 meV per atom
Fermi-level density of states ... 8.4 states/eV/f.u.
E_form (uncorrected) ... 0.934 eV per atom

```
FeTe2SI
1.0
-4.9920 -0.8997 -1.3561
-0.4720 -3.3869 3.9843
-1.6279 4.0869 3.2812
I S Te Fe
1 1 2 1
Cartesian
-0.8139 2.0434 1.6406
0.0000 0.0000 0.0000
-0.2360 -1.6934 1.9922
-2.4960 -0.4498 -0.6781
-3.5459 -0.0998 2.9547
```